1.
Density functional theory data (GGA-PBE) for a relaxed LiBe2Pt crystal.

a b c (Å): 3.932 3.932 3.932
angles (deg): 60.00 60.00 60.00
Sites, in units of the cell vectors:
Li  0.000  0.000  0.000
Be  0.250  0.250  0.250
Be  0.750  0.750  0.750
Pt  0.500  0.500  0.500

Results
Its space group is Fm-3m (225). The calculation puts the total magnetization at 0.00 μB/f.u. As for the electronic total energy: -17.5 eV per formula unit.

***

2.
Density functional theory data (GGA-PBE) for a relaxed PmCoSi2Ir crystal.

a b c (Å): 5.799 5.799 5.799
angles (deg): 139.50 139.50 58.61
Sites, in units of the cell vectors:
Pm  0.000  0.000  0.000
Co  0.250  0.750  0.500
Si  0.374  0.374  0.000
Si  0.626  0.626  0.000
Ir  0.750  0.250  0.500

Results
Its space group is I-4m2 (119). For the uncorrected formation energy, the calculation gives -0.9231 eV per atom. The calculation puts the total magnetization at 0.00 μB/f.u.

***

3.
Density functional theory data (GGA-PBE) for a relaxed CaRhOF2 crystal.

a b c (Å): 4.321 4.321 3.929
angles (deg): 90.00 90.00 90.00
Sites, in units of the cell vectors:
Ca  0.000  0.000  0.000
Rh  0.500  0.500  0.500
O  0.500  0.500  0.000
F  0.000  0.500  0.500
F  0.500  0.000  0.500

Results
Its space group is P4/mmm (123). For the uncorrected formation energy, the calculation gives -1.6803 eV per atom. The calculation puts the total magnetization at 0.00 μB/f.u. For the distance to the lowest polymorph of the same formula, the calculation gives 0.00 eV per formula unit.

***

4.
Density functional theory data (GGA-PBE) for a relaxed BaPd crystal.

a b c (Å): 9.360 8.656 5.717
angles (deg): 78.33 64.92 36.74
Sites, in units of the cell vectors:
Ba  0.053  0.697  0.053
Ba  0.303  0.947  0.303
Ba  0.697  0.053  0.697
Ba  0.947  0.303  0.947
Pd  0.291  0.291  0.459
Pd  0.459  0.459  0.291
Pd  0.541  0.541  0.709
Pd  0.709  0.709  0.541

Results
Its space group is Fddd (70). The calculation puts the total magnetization at 0.00 μB/f.u. As for the electronic total energy: -7.6 eV per formula unit.

***

5.
Density functional theory data (GGA-PBE) for a relaxed BeSi2HSe crystal.

a b c (Å): 4.510 4.510 3.328
angles (deg): 90.00 90.00 90.00
Sites, in units of the cell vectors:
Be  0.000  0.000  0.000
Si  0.000  0.500  0.000
Si  0.500  0.000  0.000
H  0.000  0.000  0.500
Se  0.500  0.500  0.500

Results
Its space group is P4/mmm (123). The calculation puts the total magnetization at 0.00 μB/f.u. As for the electronic total energy: -19.3 eV per formula unit.

***

6.
Density functional theory data (GGA-PBE) for a relaxed Al2CdBr8 crystal.

a b c (Å): 7.589 8.256 13.599
angles (deg): 90.00 94.23 90.00
Sites, in units of the cell vectors:
Al  0.000  0.145  0.000
Al  0.000  0.855  0.500
Al  0.594  0.336  0.256
Al  0.594  0.664  0.756
Cd  0.153  0.173  0.258
Cd  0.153  0.827  0.758
Br  0.103  0.376  0.089
Br  0.103  0.624  0.589
Br  0.232  0.067  0.904
Br  0.232  0.933  0.404
Br  0.373  0.399  0.364
Br  0.373  0.601  0.864
Br  0.493  0.087  0.189
Br  0.493  0.913  0.689
Br  0.621  0.465  0.643
Br  0.621  0.535  0.143
Br  0.744  0.190  0.908
Br  0.744  0.810  0.408
Br  0.861  0.294  0.355
Br  0.861  0.706  0.855
Br  0.980  0.049  0.627
Br  0.980  0.951  0.127

Results
Its space group is Pc (7). For the uncorrected formation energy, the calculation gives -1.0431 eV per atom. The calculation puts the total magnetization at 0.00 μB/f.u.

***

7.
Density functional theory data (GGA-PBE) for a relaxed BePSeO2 crystal.

a b c (Å): 3.361 3.361 6.795
angles (deg): 90.00 90.00 90.00
Sites, in units of the cell vectors:
Be  0.000  0.000  0.000
P  0.000  0.000  0.500
Se  0.500  0.500  0.500
O  0.000  0.500  0.000
O  0.500  0.000  0.000

Results
Its space group is P4/mmm (123). For the uncorrected formation energy, the calculation gives -0.2123 eV per atom. The calculation puts the total magnetization at 1.23 μB/f.u. For the distance to the lowest polymorph of the same formula, the calculation gives 0.00 eV per formula unit.

***

8.
Density functional theory data (GGA-PBE) for a relaxed Sr3CdF crystal.

a b c (Å): 5.413 5.413 5.413
angles (deg): 90.00 90.00 90.00
Sites, in units of the cell vectors:
Sr  0.000  0.000  0.500
Sr  0.000  0.500  0.000
Sr  0.500  0.000  0.000
Cd  0.500  0.500  0.500
F  0.000  0.000  0.000

Results
Its space group is Pm-3m (221). For the uncorrected formation energy, the calculation gives -1.1188 eV per atom. The calculation puts the total magnetization at 0.00 μB/f.u. For the distance to the lowest polymorph of the same formula, the calculation gives 0.00 eV per formula unit.

***

Question: Look up the total magnetization of the third one.
Answer: 0.00 μB/f.u.

***

Question: What is the total magnetization in the first record?
Answer: 0.00 μB/f.u.

***

Question: total magnetization of number 2 (PmCoSi2Ir)?
Answer: 0.00 μB/f.u.